1.
VASP calculation (SCAN) on a PBEsol-optimized structure of TcNi5.

Computed properties:
Calculated total energy = -19.23 eV/atom
Energy of formation from the pure elements = 0.093 eV/atom

Unit cell a=3.526 b=10.542 c=3.519 alpha=90.00 beta=90.00 gamma=90.00
Space group Cmmm (No. 65)
Unique sites:
Tc1 0.000 0.000 0.000 [2 per cell]
Ni1 0.000 0.168 0.500 [4 per cell]
Ni2 0.000 0.336 0.000 [4 per cell]
Ni3 0.000 0.500 0.500 [2 per cell]

=====

2.
VASP calculation (SCAN) on a PBEsol-optimized structure of TcNi3.

Computed properties:
Calculated total energy = -20.78 eV/atom
Energy of formation from the pure elements = 0.114 eV/atom

Unit cell a=2.536 b=8.138 c=4.358 alpha=90.00 beta=90.00 gamma=90.00
Space group Imm2 (No. 44)
Unique sites:
Tc1 0.000 0.000 0.000 [2 per cell]
Ni1 0.000 0.246 0.652 [4 per cell]
Ni2 0.000 0.500 0.993 [2 per cell]